A relaxed MnBeMo2 crystal. Source: Alexandria, functional PBE.

Results
The total magnetization comes out at 2.446 μB per formula unit. The value obtained for the calculated formation energy is 0.609 eV per atom. Its space group is I-42d (122). The crystal system is tetragonal.

Cell lengths 5.326, 5.326, 5.326 Å; angles 103.28, 103.28, 122.72 degrees
Atoms (fractional coordinates):
Mn 0.000 0.000 0.000
Mn 0.750 0.250 0.500
Be 0.250 0.750 0.500
Be 0.500 0.500 0.000
Mo 0.139 0.125 0.514
Mo 0.375 0.861 0.986
Mo 0.611 0.625 0.486
Mo 0.875 0.389 0.014

=====

A relaxed MnBe2Mo crystal. Source: Alexandria, functional PBE.

Results
The total magnetization comes out at 0.523 μB per formula unit. The value obtained for the calculated formation energy is -0.007 eV per atom. Its space group is F222 (22). The energy above the most stable polymorph in this dataset is 0.052 eV/atom. The crystal system is orthorhombic.

Cell lengths 3.971, 3.964, 3.956 Å; angles 60.19, 60.01, 59.80 degrees
Atoms (fractional coordinates):
Mn 0.000 0.000 0.000
Be 0.500 0.500 0.500
Be 0.750 0.750 0.750
Mo 0.250 0.250 0.250

=====

A relaxed Mn3BeMo crystal. Source: Alexandria, functional PBE.

Results
The total magnetization comes out at 2.755 μB per formula unit. The value obtained for the calculated formation energy is 0.564 eV per atom. Its space group is Pm-3m (221). The energy above the most stable polymorph in this dataset is 0.000 eV/atom. The crystal system is cubic.

Cell lengths 3.891, 3.891, 3.891 Å; angles 90.00, 90.00, 90.00 degrees
Atoms (fractional coordinates):
Mn 0.000 0.000 0.500
Mn 0.000 0.500 0.000
Mn 0.500 0.000 0.000
Be 0.000 0.000 0.000
Mo 0.500 0.500 0.500

=====

A relaxed MnBe2Mo2 crystal. Source: Alexandria, functional PBE.

Results
The total magnetization comes out at 0.001 μB per formula unit. The value obtained for the calculated formation energy is -0.115 eV per atom. Its space group is P4/mbm (127). The crystal system is tetragonal.

Cell lengths 5.989, 5.989, 3.196 Å; angles 90.00, 90.00, 90.00 degrees
Atoms (fractional coordinates):
Mn 0.000 0.000 0.000
Mn 0.500 0.500 0.000
Be 0.122 0.378 0.000
Be 0.378 0.878 0.000
Be 0.622 0.122 0.000
Be 0.878 0.622 0.000
Mo 0.176 0.676 0.500
Mo 0.324 0.176 0.500
Mo 0.676 0.824 0.500
Mo 0.824 0.324 0.500

=====

- The highest calculated formation energy belongs to which entry?
  MnBeMo2